Cr2SbRh (PBE, optimized geometry); energy = -7.470 eV per atom; Fermi-level density of states = 1.0175 states/eV/atom; space-group type = Cm; magnetic moment = 7.15 μB/cell
1.0
8.913 0.000 0.000
0.000 2.955 0.000
-0.966 0.000 4.586
Cr Sb Rh
4 2 2
Cartesian
0.000 0.000 0.000
1.907 1.478 0.991
4.457 1.478 0.000
6.363 0.000 0.991
3.938 0.000 2.249
8.395 1.478 2.249
1.511 0.000 3.510
5.968 1.478 3.510

***

Zn2Os (PBE, optimized geometry); energy relative to the elements = 0.10 eV/atom; Fermi-level density of states = 0.3950 states/eV/atom; space-group type = Cm; magnetic moment = 0.00 μB/cell
1.0
9.847 0.000 0.000
0.000 2.807 0.000
-1.570 0.000 6.185
Zn Os
8 4
Cartesian
0.000 0.000 0.000
-0.535 0.000 3.748
0.705 1.404 5.852
3.393 0.000 1.697
4.923 1.404 0.000
4.389 1.404 3.748
5.629 0.000 5.852
8.317 1.404 1.697
1.124 1.404 2.091
2.117 0.000 4.069
6.047 0.000 2.091
7.041 1.404 4.069